No. 1
An optimized crystal structure of BaPrCdAg, computed with PBE.

Output
**SG**: F-43m, No. 216
**Calculated volume**: 32.0 A^3/atom
**Formation energy from the elements**: -0.1723 eV/atom

Cell lengths 5.6563, 5.6563, 5.6563 Å; angles 60.00, 60.00, 60.00 degrees
Element x y z (fractional)
Ba  0.0000  0.0000  0.0000
Pr  0.5000  0.5000  0.5000
Cd  0.7500  0.7500  0.7500
Ag  0.2500  0.2500  0.2500


No. 2
An optimized crystal structure of Ba2PrCd12Ag3, computed with PBE.

Output
**SG**: R-3m, No. 166
**Calculated volume**: 31.5 A^3/atom
**Formation energy from the elements**: 0.0272 eV/atom

Cell lengths 10.4805, 10.4805, 10.4805 Å; angles 47.24, 47.24, 47.24 degrees
Element x y z (fractional)
Ba  0.1192  0.1192  0.1192
Ba  0.8808  0.8808  0.8808
Pr  0.5000  0.5000  0.5000
Cd  0.0107  0.6525  0.6525
Cd  0.2697  0.2697  0.6455
Cd  0.2697  0.6455  0.2697
Cd  0.3475  0.3475  0.9893
Cd  0.3475  0.9893  0.3475
Cd  0.3545  0.7303  0.7303
Cd  0.6455  0.2697  0.2697
Cd  0.6525  0.0107  0.6525
Cd  0.6525  0.6525  0.0107
Cd  0.7303  0.3545  0.7303
Cd  0.7303  0.7303  0.3545
Cd  0.9893  0.3475  0.3475
Ag  0.0000  0.5000  0.5000
Ag  0.5000  0.0000  0.5000
Ag  0.5000  0.5000  0.0000


No. 3
An optimized crystal structure of BaCdAg2Pt, computed with PBE.

Output
**SG**: Imm2, No. 44
**Calculated volume**: 24.9 A^3/atom
**Formation energy from the elements**: -0.3310 eV/atom

Cell lengths 7.0257, 7.0257, 7.0257 Å; angles 143.53, 142.60, 53.23 degrees
Element x y z (fractional)
Ba  0.0000  0.0000  0.0000
Cd  0.2653  0.7653  0.5000
Ag  0.6232  0.6232  0.0000
Ag  0.7672  0.2672  0.5000
Pt  0.4072  0.4072  0.0000


No. 4
An optimized crystal structure of BaCd3AgPt, computed with PBE.

Output
**SG**: Cmcm, No. 63
**Calculated volume**: 26.3 A^3/atom
**Formation energy from the elements**: -0.2235 eV/atom

Cell lengths 7.8310, 7.8310, 6.3816 Å; angles 90.00, 90.00, 126.16 degrees
Element x y z (fractional)
Ba  0.2302  0.7698  0.7500
Ba  0.7698  0.2302  0.2500
Cd  0.2039  0.2039  0.0000
Cd  0.2039  0.2039  0.5000
Cd  0.3557  0.6443  0.2500
Cd  0.6443  0.3557  0.7500
Cd  0.7961  0.7961  0.0000
Cd  0.7961  0.7961  0.5000
Ag  0.1476  0.8524  0.2500
Ag  0.8524  0.1476  0.7500
Pt  0.4435  0.5565  0.7500
Pt  0.5565  0.4435  0.2500


No. 5
An optimized crystal structure of BaCd2AgPt, computed with PBE.

Output
**SG**: Imm2, No. 44
**Calculated volume**: 25.7 A^3/atom
**Formation energy from the elements**: -0.3557 eV/atom

Cell lengths 7.2433, 7.2433, 7.2433 Å; angles 145.05, 143.52, 51.41 degrees
Element x y z (fractional)
Ba  0.0000  0.0000  0.0000
Cd  0.3697  0.3697  0.0000
Cd  0.7219  0.2219  0.5000
Ag  0.2206  0.7206  0.5000
Pt  0.5810  0.5810  0.0000


No. 6
An optimized crystal structure of Ba2Cd4AgPt3, computed with PBE.

Output
**SG**: P-4m2, No. 115
**Calculated volume**: 25.5 A^3/atom
**Formation energy from the elements**: -0.4389 eV/atom

Cell lengths 4.7652, 4.7652, 11.2108 Å; angles 90.00, 90.00, 90.00 degrees
Element x y z (fractional)
Ba  0.0000  0.5000  0.2465
Ba  0.5000  0.0000  0.7535
Cd  0.0000  0.0000  0.5000
Cd  0.0000  0.5000  0.8743
Cd  0.5000  0.0000  0.1257
Cd  0.5000  0.5000  0.5000
Ag  0.5000  0.5000  0.0000
Pt  0.0000  0.0000  0.0000
Pt  0.0000  0.5000  0.6326
Pt  0.5000  0.0000  0.3674


No. 7
An optimized crystal structure of Ba2CdAgPt, computed with PBE.

Output
**SG**: P2_1/m, No. 11
**Calculated volume**: 31.9 A^3/atom
**Formation energy from the elements**: -0.4661 eV/atom

Cell lengths 8.3528, 4.7814, 8.6502 Å; angles 90.00, 112.71, 90.00 degrees
Element x y z (fractional)
Ba  0.0439  0.2500  0.2142
Ba  0.3509  0.7500  0.6249
Ba  0.6491  0.2500  0.3751
Ba  0.9561  0.7500  0.7858
Cd  0.3309  0.2500  0.9373
Cd  0.6691  0.7500  0.0627
Ag  0.3417  0.7500  0.1457
Ag  0.6583  0.2500  0.8543
Pt  0.0789  0.2500  0.6025
Pt  0.9211  0.7500  0.3975


No. 8
An optimized crystal structure of Ba2CdAgPt, computed with PBE.

Output
**SG**: P4/mmm, No. 123
**Calculated volume**: 38.7 A^3/atom
**Formation energy from the elements**: -0.2842 eV/atom

Cell lengths 6.0736, 6.0736, 5.2391 Å; angles 90.00, 90.00, 90.00 degrees
Element x y z (fractional)
Ba  0.0000  0.5000  0.0000
Ba  0.5000  0.0000  0.0000
Cd  0.0000  0.0000  0.5000
Ag  0.5000  0.5000  0.5000
Pt  0.5000  0.5000  0.0000


No. 9
An optimized crystal structure of Ba2CdAgPt, computed with PBE.

Output
**SG**: P4/mmm, No. 123
**Calculated volume**: 38.8 A^3/atom
**Formation energy from the elements**: -0.3478 eV/atom

Cell lengths 6.0801, 6.0801, 5.2498 Å; angles 90.00, 90.00, 90.00 degrees
Element x y z (fractional)
Ba  0.0000  0.5000  0.0000
Ba  0.5000  0.0000  0.0000
Cd  0.0000  0.0000  0.5000
Ag  0.5000  0.5000  0.5000
Pt  0.0000  0.0000  0.0000


No. 10
An optimized crystal structure of BaCd2AgPt, computed with PBE.

Output
**SG**: P4/mmm, No. 123
**Calculated volume**: 29.4 A^3/atom
**Formation energy from the elements**: -0.2603 eV/atom

Cell lengths 5.2301, 5.2301, 5.3790 Å; angles 90.00, 90.00, 90.00 degrees
Element x y z (fractional)
Ba  0.0000  0.0000  0.0000
Cd  0.0000  0.5000  0.5000
Cd  0.5000  0.0000  0.5000
Ag  0.5000  0.5000  0.0000
Pt  0.5000  0.5000  0.5000


No. 11
An optimized crystal structure of Ba6Cd2AgPt, computed with PBE.

Output
**SG**: P2_1/c, No. 14
**Calculated volume**: 45.5 A^3/atom
**Formation energy from the elements**: -0.3404 eV/atom

Cell lengths 8.1571, 9.1693, 14.5362 Å; angles 90.00, 123.16, 90.00 degrees
Element x y z (fractional)
Ba  0.1070  0.0326  0.2420
Ba  0.1070  0.4674  0.7420
Ba  0.2236  0.6934  0.0637
Ba  0.2236  0.8066  0.5637
Ba  0.3818  0.1722  0.0610
Ba  0.3818  0.3278  0.5610
Ba  0.6182  0.6722  0.4390
Ba  0.6182  0.8278  0.9390
Ba  0.7764  0.1934  0.4363
Ba  0.7764  0.3066  0.9363
Ba  0.8930  0.5326  0.2580
Ba  0.8930  0.9674  0.7580
Cd  0.3036  0.1126  0.7506
Cd  0.3036  0.3874  0.2506
Cd  0.6964  0.6126  0.7494
Cd  0.6964  0.8874  0.2494
Ag  0.5000  0.0000  0.5000
Ag  0.5000  0.5000  0.0000
Pt  0.0000  0.0000  0.0000
Pt  0.0000  0.5000  0.5000


No. 12
An optimized crystal structure of Ba2Cd3Ag12Pt, computed with PBE.

Output
**SG**: R-3m, No. 166
**Calculated volume**: 29.1 A^3/atom
**Formation energy from the elements**: 0.1695 eV/atom

Cell lengths 8.9024, 8.9024, 8.9024 Å; angles 62.19, 62.19, 62.19 degrees
Element x y z (fractional)
Ba  0.1080  0.1080  0.1080
Ba  0.8920  0.8920  0.8920
Cd  0.0000  0.5000  0.5000
Cd  0.5000  0.0000  0.5000
Cd  0.5000  0.5000  0.0000
Ag  0.1496  0.1496  0.4775
Ag  0.1496  0.4775  0.1496
Ag  0.1496  0.6259  0.6259
Ag  0.3741  0.3741  0.8504
Ag  0.3741  0.8504  0.3741
Ag  0.4775  0.1496  0.1496
Ag  0.5225  0.8504  0.8504
Ag  0.6259  0.1496  0.6259
Ag  0.6259  0.6259  0.1496
Ag  0.8504  0.3741  0.3741
Ag  0.8504  0.5225  0.8504
Ag  0.8504  0.8504  0.5225
Pt  0.5000  0.5000  0.5000